(1)
# PBE ReRh2Pb, optimized geometry
# Density, Mg/m³: 14.94
data_ReRh2Pb
_symmetry_space_group_name_H-M 'P m m m'
_symmetry_Int_Tables_number 47
_cell_length_a 2.9216
_cell_length_b 3.8843
_cell_length_c 5.8674
_cell_angle_alpha 90.00
_cell_angle_beta 90.00
_cell_angle_gamma 90.00
loop_
_symmetry_equiv_pos_as_xyz
'x,y,z'
'-x,-y,-z'
'-x,-y,z'
'x,y,-z'
'x,-y,-z'
'-x,y,z'
'-x,y,-z'
'x,-y,z'
loop_
_atom_site_label
_atom_site_type_symbol
_atom_site_fract_x
_atom_site_fract_y
_atom_site_fract_z
_atom_site_occupancy
Re1 Re 0.0000 0.0000 0.0000 1
Rh1 Rh 0.5000 0.5000 0.2218 1
Pb1 Pb 0.0000 0.0000 0.5000 1



(2)
# PBE ReRh3Pb, optimized geometry
# ΔE to the lowest computed polymorph, meV per atom: 1424
# Density, Mg/m³: 10.42
data_ReRh3Pb
_symmetry_space_group_name_H-M 'P m -3 m'
_symmetry_Int_Tables_number 221
_symmetry_space_group_name_Hall '-P 4 2 3'
_cell_length_a 4.8183
_cell_length_b 4.8183
_cell_length_c 4.8183
_cell_angle_alpha 90.00
_cell_angle_beta 90.00
_cell_angle_gamma 90.00
loop_
_atom_site_label
_atom_site_type_symbol
_atom_site_fract_x
_atom_site_fract_y
_atom_site_fract_z
_atom_site_occupancy
Re1 Re 0.0000 0.0000 0.0000 1
Rh1 Rh 0.0000 0.5000 0.5000 1
Pb1 Pb 0.5000 0.5000 0.5000 1



(3)
# PBE ReRh2Pb, optimized geometry
# Density, Mg/m³: 14.89
data_ReRh2Pb
_symmetry_space_group_name_H-M 'C 1 2/m 1'
_symmetry_Int_Tables_number 12
_cell_length_a 9.0680
_cell_length_b 2.9596
_cell_length_c 5.0378
_cell_angle_alpha 90.00
_cell_angle_beta 98.61
_cell_angle_gamma 90.00
loop_
_symmetry_equiv_pos_as_xyz
'x,y,z'
'-x,-y,-z'
'-x,y,-z'
'x,-y,z'
'x+1/2,y+1/2,z'
'-x+1/2,-y+1/2,-z'
'-x+1/2,y+1/2,-z'
'x+1/2,-y+1/2,z'
loop_
_atom_site_label
_atom_site_type_symbol
_atom_site_fract_x
_atom_site_fract_y
_atom_site_fract_z
_atom_site_occupancy
Re1 Re 0.0000 0.0000 0.0000 1
Rh1 Rh 0.2439 0.5000 0.2232 1
Pb1 Pb 0.0000 0.5000 0.5000 1



Record-wise total magnetic moment values, in μB per cell: 0.00 0.00 0.00
Record-wise E values, in eV/atom: -7.4463 -5.3032 -7.3247